Density functional theory data (PBE-GGA) for LiCeNiP2 after structural relaxation.

Output
**Theoretical density**: 5495 kg/m3
**DFT formation energy**: -0.790 eV/atom
**Raw total energy**: -28.40 eV/f.u.
**Calculated volume**: 16.181 A^3/atom
**Crystal system**: orthorhombic

```
LiCeNiP2
1.0
5.149 0.000 0.000
0.000 5.818 0.000
0.000 0.000 5.401
Li Ce Ni P
2 2 2 4
direct
0.250 0.000 0.089 Li
0.750 0.000 0.911 Li
0.250 0.500 0.263 Ce
0.750 0.500 0.737 Ce
0.000 0.000 0.500 Ni
0.500 0.000 0.500 Ni
0.250 0.253 0.728 P
0.250 0.747 0.728 P
0.750 0.253 0.272 P
0.750 0.747 0.272 P
```



Density functional theory data (PBE-GGA) for LiCePmNi after structural relaxation.

Output
**Theoretical density**: 6537 kg/m3
**DFT formation energy**: 0.021 eV/atom
**Raw total energy**: -18.29 eV/f.u.
**Calculated volume**: 22.274 A^3/atom
**Crystal system**: cubic

```
LiCePmNi
1.0
0.000 3.545 3.545
3.545 0.000 3.545
3.545 3.545 0.000
Li Ce Pm Ni
1 1 1 1
direct
0.000 0.000 0.000 Li
0.750 0.750 0.750 Ce
0.250 0.250 0.250 Pm
0.500 0.500 0.500 Ni
```



Density functional theory data (PBE-GGA) for LiCeNiPt after structural relaxation.

Output
**Theoretical density**: 9230 kg/m3
**DFT formation energy**: -0.466 eV/atom
**Raw total energy**: -21.53 eV/f.u.
**Calculated volume**: 18.028 A^3/atom
**Crystal system**: cubic

```
LiCeNiPt
1.0
0.000 3.304 3.304
3.304 0.000 3.304
3.304 3.304 0.000
Li Ce Ni Pt
1 1 1 1
direct
0.000 0.000 0.000 Li
0.500 0.500 0.500 Ce
0.250 0.250 0.250 Ni
0.750 0.750 0.750 Pt
```